No. 1
{
  "formula": "RbGaSb",
  "functional": "PBE",
  "state": "optimized geometry",
  "lattice": [[-2.391, 0.615, -3.703], [4.177, -1.448, -2.938], [-1.648, -9.229, 2.207]],
  "species": ["Rb", "Sb", "Ga", "Rb", "Sb", "Ga"],
  "fractional_positions": [[0.675, 0.750, 0.350], [0.888, 0.750, 0.775], [0.467, 0.750, 0.935], [0.325, 0.250, 0.650], [0.112, 0.250, 0.225], [0.533, 0.250, 0.065]],
  "space_group": "Cmcm",
  "vol_a3_per_atom": 36.89,
  "mass_density_g_cm3": 4.2,
  "e_tot_ev_per_atom": -2.86,
  "magnetic_moment_mub_per_cell": 0.00,
  "n_ef_per_ev_atom": 0.588
}

=====

No. 2
{
  "formula": "YNbPCl2",
  "functional": "PBE",
  "state": "optimized geometry",
  "lattice": [[4.766, 0.000, 0.000], [0.000, 4.766, 0.000], [0.000, 0.000, 5.052]],
  "species": ["Nb", "Cl", "P", "Cl", "Y"],
  "fractional_positions": [[0.000, 0.000, 0.000], [0.000, 0.500, 0.000], [0.000, 0.000, 0.500], [0.500, 0.000, 0.000], [0.500, 0.500, 0.500]],
  "space_group": "P4/mmm",
  "vol_a3_per_atom": 22.95,
  "mass_density_g_cm3": 4.1,
  "e_tot_ev_per_atom": -5.59,
  "magnetic_moment_mub_per_cell": 0.49,
  "n_ef_per_ev_atom": 0.987
}

=====

No. 3
{
  "formula": "TlTcPt2",
  "functional": "PBE",
  "state": "optimized geometry",
  "lattice": [[-7.755, 4.336, 2.939], [-8.764, 3.258, 0.402], [-8.782, 1.589, 2.816]],
  "species": ["Tc", "Pt", "Pt", "Tl"],
  "fractional_positions": [[0.506, 0.506, 0.506], [0.997, 0.997, 0.997], [0.247, 0.247, 0.247], [0.751, 0.751, 0.751]],
  "space_group": "R3m",
  "vol_a3_per_atom": 17.16,
  "mass_density_g_cm3": 16.8,
  "e_form_mev_per_atom": 306,
  "magnetic_moment_mub_per_cell": 0.00,
  "n_ef_per_ev_atom": 1.043
}

=====

What did the first record say?
{
  "formula": "RbGaSb",
  "functional": "PBE",
  "state": "optimized geometry",
  "lattice": [[-2.391, 0.615, -3.703], [4.177, -1.448, -2.938], [-1.648, -9.229, 2.207]],
  "species": ["Rb", "Sb", "Ga", "Rb", "Sb", "Ga"],
  "fractional_positions": [[0.675, 0.750, 0.350], [0.888, 0.750, 0.775], [0.467, 0.750, 0.935], [0.325, 0.250, 0.650], [0.112, 0.250, 0.225], [0.533, 0.250, 0.065]],
  "space_group": "Cmcm",
  "vol_a3_per_atom": 36.89,
  "mass_density_g_cm3": 4.2,
  "e_tot_ev_per_atom": -2.86,
  "magnetic_moment_mub_per_cell": 0.00,
  "n_ef_per_ev_atom": 0.588
}